VASP calculation (PBE) on an optimized crystal structure of InNiGe.

The structure in POSCAR format:
```
InNiGe
1.0
0.0000 3.0029 3.0029
3.0029 0.0000 3.0029
3.0029 3.0029 0.0000
In Ni Ge
1 1 1
direct
0.0000 0.0000 0.0000 In
0.7500 0.7500 0.7500 Ni
0.5000 0.5000 0.5000 Ge
```

Values from the calculation:
N(E_F) = 0.520 states/eV per atom
energy = -4.49 eV/atom
total moment = 0.000 μB per formula unit
E_form = -2.7 kcal/mol of atoms
volume = 54 Å³ per cell